[1]
Density functional theory data (PBE) for an optimized crystal structure of AlFe4Au.

Cell and atoms, written as POSCAR:
```
AlFe4Au
1.0
0.000 3.421 3.421
3.421 0.000 3.421
3.421 3.421 0.000
Al Fe Au
1 4 1
direct
0.750 0.750 0.750 Al
0.872 0.376 0.376 Fe
0.376 0.376 0.872 Fe
0.376 0.872 0.376 Fe
0.376 0.376 0.376 Fe
0.000 0.000 0.000 Au
```

Results
space group = No. 216
calculated formation energy = 45.1 meV per atom
M_tot = 9.494 μB per formula unit
total DFT energy (no corrections) = -40.600 eV per cell



[2]
Density functional theory data (PBE) for an optimized crystal structure of AlFeAu2.

Cell and atoms, written as POSCAR:
```
AlFeAu2
1.0
3.032 0.000 0.000
0.000 3.032 0.000
0.000 0.000 6.884
Au Al Fe
2 1 1
direct
0.000 0.000 0.504 Au
0.000 0.000 0.996 Au
0.500 0.500 0.750 Al
0.500 0.500 0.250 Fe
```

Results
space group = No. 123
calculated formation energy = -80.6 meV per atom
M_tot = 2.828 μB per formula unit
total DFT energy (no corrections) = -19.082 eV per cell



[3]
Density functional theory data (PBE) for an optimized crystal structure of Al2FeAu.

Cell and atoms, written as POSCAR:
```
Al2FeAu
1.0
8.773 -0.007 -0.004
8.301 2.839 -0.004
8.301 1.377 2.482
Al Au Fe
2 1 1
direct
0.005 0.005 0.005 Al
0.250 0.250 0.250 Al
0.499 0.499 0.499 Au
0.747 0.747 0.747 Fe
```

Results
space group = No. 160
calculated formation energy = -41.8 meV per atom
M_tot = 2.479 μB per formula unit
total DFT energy (no corrections) = -19.392 eV per cell



[4]
Density functional theory data (PBE) for an optimized crystal structure of Al2FeGeAu.

Cell and atoms, written as POSCAR:
```
Al2FeGeAu
1.0
-2.222 -1.410 -3.706
-2.134 -2.998 2.420
-3.298 3.017 0.830
Au Ge Al Fe
1 1 2 1
direct
0.500 0.500 0.500 Au
0.000 0.500 0.000 Ge
0.500 0.000 0.000 Al
0.000 0.000 0.500 Al
0.000 0.000 0.000 Fe
```

Results
space group = No. 123
calculated formation energy = 51.5 meV per atom
M_tot = 0.000 μB per formula unit
total DFT energy (no corrections) = -23.585 eV per cell